(1)
TiTl2B2S6 | PBE | relaxed

Energy relative to the elements, uncorrected: -5.66 eV/f.u.
Calculated total energy: -56.409 eV per cell

Unit cell a=7.7997 b=7.7997 c=7.7997 alpha=48.82 beta=48.82 gamma=48.82
Positions (direct):
Ti 0.0000 0.0000 0.0000
Tl 0.2214 0.2214 0.2214
Tl 0.7786 0.7786 0.7786
B 0.3989 0.3989 0.3989
B 0.6011 0.6011 0.6011
S 0.2461 0.2461 0.7321
S 0.2461 0.7321 0.2461
S 0.2679 0.7539 0.7539
S 0.7321 0.2461 0.2461
S 0.7539 0.2679 0.7539
S 0.7539 0.7539 0.2679


(2)
TiTlB2S | PBE | relaxed

Energy relative to the elements, uncorrected: 4.00 eV/f.u.
Calculated total energy: -23.742 eV per cell
Energy above the most stable polymorph in this dataset: 0.000 kcal/mol of atoms

Unit cell a=4.4784 b=4.4784 c=4.6717 alpha=90.00 beta=90.00 gamma=90.00
Positions (direct):
Ti 0.0000 0.0000 0.0000
Tl 0.5000 0.5000 0.5000
B 0.0000 0.5000 0.0000
B 0.5000 0.0000 0.0000
S 0.0000 0.0000 0.5000


(3)
Tl5BS6 | PBE | relaxed

Energy relative to the elements, uncorrected: -2.53 eV/f.u.
Calculated total energy: -45.803 eV per cell

Unit cell a=8.1392 b=8.1392 c=7.8614 alpha=92.10 beta=92.10 gamma=130.41
Positions (direct):
Tl 0.0000 0.0000 0.0000
Tl 0.1670 0.8330 0.5000
Tl 0.2692 0.7308 0.0000
Tl 0.7308 0.2692 0.0000
Tl 0.8330 0.1670 0.5000
B 0.5000 0.5000 0.5000
S 0.0800 0.4129 0.1868
S 0.3018 0.3018 0.6135
S 0.4129 0.0800 0.1868
S 0.5871 0.9200 0.8132
S 0.6982 0.6982 0.3865
S 0.9200 0.5871 0.8132


(4)
Tl2BS | PBE | relaxed

Energy relative to the elements, uncorrected: 2.08 eV/f.u.
Calculated total energy: -26.914 eV per cell
Energy above the most stable polymorph in this dataset: 0.000 kcal/mol of atoms

Unit cell a=7.0568 b=7.0568 c=7.0568 alpha=130.61 beta=130.61 gamma=72.44
Positions (direct):
Tl 0.0639 0.6250 0.9389
Tl 0.3750 0.3139 0.4389
Tl 0.6861 0.1250 0.0611
Tl 0.8750 0.9361 0.5611
B 0.0000 0.0000 0.0000
B 0.7500 0.2500 0.5000
S 0.2500 0.7500 0.5000
S 0.5000 0.5000 0.0000


(5)
TlB2S3 | PBE | relaxed

Energy relative to the elements, uncorrected: -1.65 eV/f.u.
Calculated total energy: -59.511 eV per cell

Unit cell a=9.1015 b=9.1015 c=12.8097 alpha=129.26 beta=129.26 gamma=19.71
Positions (direct):
Tl 0.0877 0.0877 0.1744
Tl 0.9123 0.9123 0.8256
B 0.1687 0.1687 0.6760
B 0.4894 0.4894 0.5554
B 0.5106 0.5106 0.4446
B 0.8313 0.8313 0.3240
S 0.0546 0.0546 0.6742
S 0.2861 0.2861 0.8496
S 0.3503 0.3503 0.4359
S 0.6497 0.6497 0.5641
S 0.7139 0.7139 0.1504
S 0.9454 0.9454 0.3258


(6)
Tl3BS4 | PBE | relaxed

Energy relative to the elements, uncorrected: -2.60 eV/f.u.
Calculated total energy: -32.883 eV per cell
Energy above the most stable polymorph in this dataset: 0.000 kcal/mol of atoms

Unit cell a=7.3900 b=7.3900 c=4.4917 alpha=105.65 beta=105.65 gamma=75.92
Positions (direct):
Tl 0.0000 0.0000 0.0000
Tl 0.5867 0.0072 0.3475
Tl 0.9928 0.4133 0.6525
B 0.3058 0.6942 0.5000
S 0.0497 0.6720 0.2796
S 0.3280 0.9503 0.7204
S 0.3897 0.5004 0.7658
S 0.4996 0.6103 0.2342


(7)
Tl3BS6 | PBE | relaxed

Energy relative to the elements, uncorrected: -0.21 eV/f.u.
Calculated total energy: -77.505 eV per cell

Unit cell a=8.7342 b=8.7342 c=6.3622 alpha=90.00 beta=90.00 gamma=106.45
Positions (direct):
Tl 0.0838 0.9162 0.5000
Tl 0.1977 0.4169 0.6597
Tl 0.4169 0.1977 0.1597
Tl 0.5831 0.8023 0.6597
Tl 0.8023 0.5831 0.1597
Tl 0.9162 0.0838 0.0000
B 0.2980 0.7020 0.2287
B 0.7020 0.2980 0.7287
S 0.0834 0.6206 0.3437
S 0.1313 0.2125 0.3088
S 0.2125 0.1313 0.8088
S 0.3126 0.6874 0.9285
S 0.3794 0.9166 0.3437
S 0.4192 0.5808 0.3883
S 0.5808 0.4192 0.8883
S 0.6206 0.0834 0.8437
S 0.6874 0.3126 0.4285
S 0.7875 0.8687 0.3088
S 0.8687 0.7875 0.8088
S 0.9166 0.3794 0.8437


(8)
Tl2B2S5 | PBE | relaxed

Energy relative to the elements, uncorrected: -1.25 eV/f.u.
Calculated total energy: -39.970 eV per cell

Unit cell a=6.4712 b=6.4712 c=8.5743 alpha=92.49 beta=92.49 gamma=41.92
Positions (direct):
Tl 0.0948 0.0948 0.3238
Tl 0.9052 0.9052 0.6762
B 0.3818 0.3818 0.1354
B 0.6182 0.6182 0.8646
S 0.2425 0.2425 0.0297
S 0.3995 0.3995 0.3383
S 0.5000 0.5000 0.0000
S 0.6005 0.6005 0.6617
S 0.7575 0.7575 0.9703


(9)
Tl2BS3 | PBE | relaxed

Energy relative to the elements, uncorrected: -1.52 eV/f.u.
Calculated total energy: -50.621 eV per cell

Unit cell a=7.4248 b=7.4248 c=5.5070 alpha=90.00 beta=90.00 gamma=76.79
Positions (direct):
Tl 0.0095 0.2770 0.0000
Tl 0.2770 0.0095 0.5000
Tl 0.7230 0.9905 0.0000
Tl 0.9905 0.7230 0.5000
B 0.3963 0.6037 0.0659
B 0.6037 0.3963 0.5659
S 0.1427 0.6043 0.9901
S 0.3957 0.8573 0.9901
S 0.4169 0.5831 0.4180
S 0.5831 0.4169 0.9180
S 0.6043 0.1427 0.4901
S 0.8573 0.3957 0.4901


(10)
Tl3BS4 | PBE | relaxed

Energy relative to the elements, uncorrected: -1.98 eV/f.u.
Calculated total energy: -64.538 eV per cell
Energy above the most stable polymorph in this dataset: 1.771 kcal/mol of atoms

Unit cell a=10.0076 b=6.3429 c=6.5198 alpha=90.00 beta=90.00 gamma=90.00
Positions (direct):
Tl 0.0000 0.2124 0.0000
Tl 0.2472 0.7376 0.0357
Tl 0.2528 0.2624 0.5357
Tl 0.5000 0.7876 0.5000
Tl 0.7472 0.2624 0.5357
Tl 0.7528 0.7376 0.0357
B 0.0000 0.7956 0.5433
B 0.5000 0.2044 0.0433
S 0.0000 0.0927 0.4824
S 0.0000 0.7301 0.8326
S 0.1695 0.6839 0.4474
S 0.3305 0.3161 0.9474
S 0.5000 0.2699 0.3326
S 0.5000 0.9073 0.9824
S 0.6695 0.3161 0.9474
S 0.8305 0.6839 0.4474


(11)
Tl5BS4 | PBE | relaxed

Energy relative to the elements, uncorrected: -2.67 eV/f.u.
Calculated total energy: -75.386 eV per cell

Unit cell a=8.5946 b=10.0864 c=9.0099 alpha=90.00 beta=90.00 gamma=90.00
Positions (direct):
Tl 0.0128 0.0575 0.2109
Tl 0.0128 0.4425 0.2109
Tl 0.2500 0.2500 0.8001
Tl 0.4872 0.0575 0.2109
Tl 0.4872 0.4425 0.2109
Tl 0.5128 0.5575 0.7891
Tl 0.5128 0.9425 0.7891
Tl 0.7500 0.7500 0.1999
Tl 0.9872 0.5575 0.7891
Tl 0.9872 0.9425 0.7891
B 0.2500 0.7500 0.4021
B 0.7500 0.2500 0.5979
S 0.0551 0.7500 0.4077
S 0.2500 0.0159 0.9879
S 0.2500 0.4841 0.9879
S 0.4449 0.7500 0.4077
S 0.5551 0.2500 0.5923
S 0.7500 0.5159 0.0121
S 0.7500 0.9841 0.0121
S 0.9449 0.2500 0.5923